[1]
Below is a relaxed structure of Pm6Ge3H, with properties calculated at the PBE level.

Computed properties:
Electronic total energy in eV per formula unit: -51.3
V in Å³/f.u.: 261

a = 6.388 Å, b = 8.127 Å, c = 11.835 Å
α = 90.00°, β = 121.99°, γ = 90.00°
Space group P2_1/c (No. 14)
Unique sites:
Pm 0.070 0.185 0.439 (multiplicity 4)
Pm 0.295 0.669 0.442 (multiplicity 4)
Pm 0.372 0.041 0.233 (multiplicity 4)
Ge 0.171 0.119 0.747 (multiplicity 4)
Ge 0.500 0.000 0.500 (multiplicity 2)
H 0.000 0.000 0.000 (multiplicity 2)

***

[2]
Below is a relaxed structure of Pm5Ge3H, with properties calculated at the PBE level.

Computed properties:
Energy relative to the lowest polymorph listed for this composition in meV/atom: 11
V in Å³/f.u.: 215

a = 7.909 Å, b = 7.909 Å, c = 13.777 Å
α = 90.00°, β = 90.00°, γ = 90.00°
Space group I4/mcm (No. 140)
Unique sites:
Pm 0.000 0.000 0.000 (multiplicity 4)
Pm 0.167 0.333 0.147 (multiplicity 16)
Ge 0.000 0.000 0.250 (multiplicity 4)
Ge 0.129 0.371 0.500 (multiplicity 8)
H 0.000 0.500 0.250 (multiplicity 4)

***

[3]
Below is a relaxed structure of Pm6Ge5H, with properties calculated at the PBE level.

Computed properties:
Electronic total energy in eV per formula unit: -62.6
V in Å³/f.u.: 316

a = 7.349 Å, b = 12.778 Å, c = 7.161 Å
α = 90.00°, β = 110.00°, γ = 90.00°
Space group C2/m (No. 12)
Unique sites:
Pm 0.244 0.000 0.255 (multiplicity 4)
Pm 0.249 0.164 0.752 (multiplicity 8)
Ge 0.000 0.165 0.000 (multiplicity 4)
Ge 0.000 0.333 0.500 (multiplicity 4)
Ge 0.000 0.500 0.000 (multiplicity 2)
H 0.000 0.000 0.500 (multiplicity 2)

***

[4]
Below is a relaxed structure of Pm7Ge2H2, with properties calculated at the PBE level.

Computed properties:
Electronic total energy in eV per formula unit: -51.5
V in Å³/f.u.: 281

a = 11.427 Å, b = 7.832 Å, c = 6.387 Å
α = 90.00°, β = 100.14°, γ = 90.00°
Space group C2/m (No. 12)
Unique sites:
Pm 0.000 0.000 0.000 (multiplicity 2)
Pm 0.056 0.500 0.767 (multiplicity 4)
Pm 0.233 0.290 0.261 (multiplicity 8)
Ge 0.000 0.169 0.500 (multiplicity 4)
H 0.114 0.500 0.118 (multiplicity 4)